1.
{"formula": "Cs2LiAu2", "functional": "PBE", "state": "relaxed", "cell": [[-3.790, 7.316, 3.549], [3.790, -7.316, 3.549], [3.790, 7.316, -3.549]], "species": ["Cs", "Cs", "Cs", "Cs", "Li", "Li", "Au", "Au", "Au", "Au"], "fractional_positions": [[0.145, 0.176, 0.322], [0.355, 0.676, 0.031], [0.645, 0.324, 0.969], [0.855, 0.824, 0.678], [0.250, 0.750, 0.500], [0.750, 0.250, 0.500], [0.100, 0.675, 0.775], [0.400, 0.175, 0.576], [0.600, 0.825, 0.424], [0.900, 0.325, 0.225]], "formation_enthalpy_0k_ev_per_atom": -0.292, "mass_density_g_cm3": 5.63}


2.
{"formula": "BiHS2", "functional": "PBE", "state": "relaxed", "cell": [[1.690, 0.976, 7.493], [-1.690, 0.976, 7.493], [0.000, -1.952, 7.493]], "species": ["Bi", "H", "S", "S"], "fractional_positions": [[0.000, 0.000, 0.000], [0.500, 0.500, 0.500], [0.120, 0.120, 0.120], [0.880, 0.880, 0.880]], "mass_density_g_cm3": 6.14, "total_energy_ev_per_atom": -3.0685}


Q: Which formula does entry 1 have?
A: Cs2LiAu2


Copy entry 2 word for word.
{"formula": "BiHS2", "functional": "PBE", "state": "relaxed", "cell": [[1.690, 0.976, 7.493], [-1.690, 0.976, 7.493], [0.000, -1.952, 7.493]], "species": ["Bi", "H", "S", "S"], "fractional_positions": [[0.000, 0.000, 0.000], [0.500, 0.500, 0.500], [0.120, 0.120, 0.120], [0.880, 0.880, 0.880]], "mass_density_g_cm3": 6.14, "total_energy_ev_per_atom": -3.0685}